This record from Alexandria via LeMat-Bulk describes crystalline BaMnAg2F6 at its relaxed geometry. The functional is PBE with a Hubbard U.

Calculated values
E_tot: -4.9388 eV per atom

Structure (POSCAR):
```
BaMnAg2F6
1.0
6.0945 0.0000 0.0000
0.0000 6.3145 0.0000
-5.9689 0.0000 8.8554
Ba Mn Ag F
2 2 4 12
direct
0.0000 0.0000 0.0000
0.0000 0.5000 0.5000
0.5000 0.0000 0.5000
0.5000 0.5000 0.0000
0.2539 0.0488 0.7443
0.2539 0.4512 0.2443
0.7461 0.5488 0.7557
0.7461 0.9512 0.2557
0.1528 0.1003 0.2793
0.1528 0.3997 0.7793
0.2578 0.6521 0.0557
0.2578 0.8479 0.5557
0.4399 0.2116 0.0872
0.4399 0.2884 0.5872
0.5601 0.7116 0.4128
0.5601 0.7884 0.9128
0.7422 0.1521 0.4443
0.7422 0.3479 0.9443
0.8472 0.6003 0.2207
0.8472 0.8997 0.7207
```